(1)
# Sc3SiC (PBE, relaxed)
# E_form (uncorrected)   -0.561 eV/atom
# Magnetic moment   3.783 μB per cell
# Total DFT energy (no corrections)   -145.793 eV/cell
# Fermi-level density of states   2.5 states/eV/f.u.
# Volume   354.36 Å³/cell
data_Sc3SiC
_cell_length_a 8.806
_cell_length_b 12.111
_cell_length_c 3.323
_cell_angle_alpha 90.00
_cell_angle_beta 90.00
_cell_angle_gamma 90.00
_space_group_name_H-M_alt 'C m m m'
_space_group_IT_number 65
_space_group_name_Hall '-C 2 2'
loop_
_atom_site_label
_atom_site_fract_x
_atom_site_fract_y
_atom_site_fract_z
_atom_site_occupancy
Sc1 0.000 0.195 0.000 1
Sc2 0.200 0.371 0.500 1
Si1 0.000 0.000 0.500 1
Si2 0.000 0.500 0.000 1
C1 0.250 0.250 0.000 1

=====

(2)
# Sc3SiC (PBE, relaxed)
# E_form (uncorrected)   0.163 eV/atom
# Magnetic moment   0.000 μB per cell
# Total DFT energy (no corrections)   -65.654 eV/cell
# Fermi-level density of states   5.3 states/eV/f.u.
# Volume   278.86 Å³/cell
data_Sc3SiC
_cell_length_a 3.236
_cell_length_b 6.395
_cell_length_c 13.477
_cell_angle_alpha 90.00
_cell_angle_beta 90.00
_cell_angle_gamma 90.00
_space_group_name_H-M_alt 'A m m 2'
_space_group_IT_number 38
loop_
_space_group_symop_operation_xyz
'x,y,z'
'-x,-y,z'
'-x,y,z'
'x,-y,z'
'x,y+1/2,z+1/2'
'-x,-y+1/2,z+1/2'
'-x,y+1/2,z+1/2'
'x,-y+1/2,z+1/2'
loop_
_atom_site_label
_atom_site_fract_x
_atom_site_fract_y
_atom_site_fract_z
_atom_site_occupancy
Sc1 0.000 0.000 0.000 1
Sc2 0.500 0.232 0.813 1
Si1 0.500 0.000 0.161 1
C1 0.000 0.000 0.839 1

=====

(3)
# Sc4Si2C (PBE, relaxed)
# E_form (uncorrected)   -0.641 eV/atom
# Magnetic moment   0.001 μB per cell
# Total DFT energy (no corrections)   -99.767 eV/cell
# Fermi-level density of states   6.6 states/eV/f.u.
# Volume   245.30 Å³/cell
data_Sc4Si2C
_cell_length_a 10.546
_cell_length_b 3.680
_cell_length_c 7.606
_cell_angle_alpha 90.00
_cell_angle_beta 123.80
_cell_angle_gamma 90.00
_space_group_name_H-M_alt 'C 1 2/m 1'
_space_group_IT_number 12
loop_
_space_group_symop_operation_xyz
'x,y,z'
'-x,-y,-z'
'-x,y,-z'
'x,-y,z'
'x+1/2,y+1/2,z'
'-x+1/2,-y+1/2,-z'
'-x+1/2,y+1/2,-z'
'x+1/2,-y+1/2,z'
loop_
_atom_site_label
_atom_site_fract_x
_atom_site_fract_y
_atom_site_fract_z
_atom_site_occupancy
Sc1 0.082 0.000 0.345 1
Sc2 0.159 0.500 0.069 1
Si1 0.126 0.500 0.655 1
C1 0.000 0.000 0.000 1

=====

(4)
# ScSi3C (PBE, relaxed)
# E_form (uncorrected)   2.264 eV/atom
# Energy relative to the lowest polymorph listed for this composition   1700 meV/atom
# Magnetic moment   1.172 μB per cell
# Total DFT energy (no corrections)   -20.506 eV/cell
# Fermi-level density of states   5.7 states/eV/f.u.
# Volume   126.58 Å³/cell
data_ScSi3C
_cell_length_a 5.021
_cell_length_b 5.021
_cell_length_c 5.021
_cell_angle_alpha 90.00
_cell_angle_beta 90.00
_cell_angle_gamma 90.00
_space_group_name_H-M_alt 'P m -3 m'
_space_group_IT_number 221
_space_group_name_Hall '-P 4 2 3'
loop_
_atom_site_label
_atom_site_fract_x
_atom_site_fract_y
_atom_site_fract_z
_atom_site_occupancy
Sc1 0.000 0.000 0.000 1
Si1 0.000 0.000 0.500 1
C1 0.500 0.500 0.500 1

=====

(5)
# Sc3SiC (PBE, relaxed)
# E_form (uncorrected)   -0.045 eV/atom
# Magnetic moment   5.977 μB per cell
# Total DFT energy (no corrections)   -203.209 eV/cell
# Fermi-level density of states   3.8 states/eV/f.u.
# Volume   654.35 Å³/cell
data_Sc3SiC
_cell_length_a 6.5306
_cell_length_b 6.5306
_cell_length_c 17.7161
_cell_angle_alpha 90.00
_cell_angle_beta 90.00
_cell_angle_gamma 120.00
_space_group_name_H-M_alt 'R -3 c'
_space_group_IT_number 167
_space_group_name_Hall '-R 3 2"c'
loop_
_atom_site_label
_atom_site_fract_x
_atom_site_fract_y
_atom_site_fract_z
_atom_site_occupancy
Sc1 0.0000 0.3179 0.2500 1
Si1 0.0000 0.0000 0.0000 1
C1 0.0000 0.0000 0.2500 1

=====

(6)
# Sc3SiC (PBE, relaxed)
# E_form (uncorrected)   -0.270 eV/atom
# Magnetic moment   0.001 μB per cell
# Total DFT energy (no corrections)   -139.968 eV/cell
# Fermi-level density of states   3.5 states/eV/f.u.
# Volume   399.54 Å³/cell
data_Sc3SiC
_cell_length_a 16.640
_cell_length_b 3.220
_cell_length_c 7.459
_cell_angle_alpha 90.00
_cell_angle_beta 91.35
_cell_angle_gamma 90.00
_space_group_name_H-M_alt 'C 1 2/m 1'
_space_group_IT_number 12
loop_
_space_group_symop_operation_xyz
'x,y,z'
'-x,-y,-z'
'-x,y,-z'
'x,-y,z'
'x+1/2,y+1/2,z'
'-x+1/2,-y+1/2,-z'
'-x+1/2,y+1/2,-z'
'x+1/2,-y+1/2,z'
loop_
_atom_site_label
_atom_site_fract_x
_atom_site_fract_y
_atom_site_fract_z
_atom_site_occupancy
Sc1 0.033 0.000 0.218 1
Sc2 0.152 0.000 0.532 1
Sc3 0.201 0.500 0.172 1
Si1 0.128 0.000 0.901 1
C1 0.101 0.500 0.357 1

=====

(7)
# ScSi2SnC (PBE, relaxed)
# E_form (uncorrected)   2.167 eV/atom
# Magnetic moment   1.147 μB per cell
# Total DFT energy (no corrections)   -19.567 eV/cell
# Fermi-level density of states   3.7 states/eV/f.u.
# Volume   137.26 Å³/cell
data_ScSi2SnC
_cell_length_a 5.003
_cell_length_b 5.003
_cell_length_c 5.484
_cell_angle_alpha 90.00
_cell_angle_beta 90.00
_cell_angle_gamma 90.00
_space_group_name_H-M_alt 'P 4/m m m'
_space_group_IT_number 123
_space_group_name_Hall '-P 4 2'
loop_
_atom_site_label
_atom_site_fract_x
_atom_site_fract_y
_atom_site_fract_z
_atom_site_occupancy
Sc1 0.000 0.000 0.000 1
Si1 0.000 0.500 0.500 1
Sn1 0.000 0.000 0.500 1
C1 0.500 0.500 0.000 1

=====

(8)
# Sc4SiSnC (PBE, relaxed)
# E_form (uncorrected)   -0.689 eV/atom
# Magnetic moment   0.000 μB per cell
# Total DFT energy (no corrections)   -195.195 eV/cell
# Fermi-level density of states   0.6 states/eV/f.u.
# Volume   562.96 Å³/cell
data_Sc4SiSnC
_cell_length_a 6.212
_cell_length_b 14.574
_cell_length_c 6.218
_cell_angle_alpha 90.00
_cell_angle_beta 90.00
_cell_angle_gamma 90.00
_space_group_name_H-M_alt 'C m c m'
_space_group_IT_number 63
_space_group_name_Hall '-C 2c 2'
loop_
_atom_site_label
_atom_site_fract_x
_atom_site_fract_y
_atom_site_fract_z
_atom_site_occupancy
Sc1 0.000 0.086 0.250 1
Sc2 0.000 0.405 0.250 1
Sc3 0.250 0.250 0.000 1
Si1 0.000 0.114 0.750 1
Sn1 0.000 0.395 0.750 1
C1 0.000 0.247 0.250 1

=====

(9)
# Sc2Si2Tc2C (PBE, relaxed)
# E_form (uncorrected)   -0.515 eV/atom
# Magnetic moment   0.000 μB per cell
# Total DFT energy (no corrections)   -114.136 eV/cell
# Fermi-level density of states   6.5 states/eV/f.u.
# Volume   222.90 Å³/cell
data_Sc2Si2Tc2C
_cell_length_a 4.066
_cell_length_b 4.066
_cell_length_c 13.483
_cell_angle_alpha 90.00
_cell_angle_beta 90.00
_cell_angle_gamma 90.00
_space_group_name_H-M_alt 'I 4/m m m'
_space_group_IT_number 139
_space_group_name_Hall '-I 4 2'
loop_
_atom_site_label
_atom_site_fract_x
_atom_site_fract_y
_atom_site_fract_z
_atom_site_occupancy
Sc1 0.000 0.000 0.168 1
Si1 0.000 0.000 0.379 1
Tc1 0.000 0.500 0.000 1
C1 0.000 0.000 0.000 1

=====

(10)
# Sc2SiTcC (PBE, relaxed)
# E_form (uncorrected)   -0.456 eV/atom
# Magnetic moment   0.000 μB per cell
# Total DFT energy (no corrections)   -39.954 eV/cell
# Fermi-level density of states   3.5 states/eV/f.u.
# Volume   78.65 Å³/cell
data_Sc2SiTcC
_cell_length_a 4.451
_cell_length_b 4.451
_cell_length_c 3.970
_cell_angle_alpha 90.00
_cell_angle_beta 90.00
_cell_angle_gamma 90.00
_space_group_name_H-M_alt 'P 4/m m m'
_space_group_IT_number 123
_space_group_name_Hall '-P 4 2'
loop_
_atom_site_label
_atom_site_fract_x
_atom_site_fract_y
_atom_site_fract_z
_atom_site_occupancy
Sc1 0.000 0.500 0.000 1
Si1 0.000 0.000 0.500 1
Tc1 0.500 0.500 0.500 1
C1 0.500 0.500 0.000 1

=====

(11)
# ScSiTc2C (PBE, relaxed)
# E_form (uncorrected)   -0.407 eV/atom
# Magnetic moment   0.000 μB per cell
# Total DFT energy (no corrections)   -174.987 eV/cell
# Fermi-level density of states   3.2 states/eV/f.u.
# Volume   297.16 Å³/cell
data_ScSiTc2C
_cell_length_a 3.762
_cell_length_b 10.972
_cell_length_c 7.198
_cell_angle_alpha 90.00
_cell_angle_beta 90.00
_cell_angle_gamma 90.00
_space_group_name_H-M_alt 'C m c m'
_space_group_IT_number 63
_space_group_name_Hall '-C 2c 2'
loop_
_atom_site_label
_atom_site_fract_x
_atom_site_fract_y
_atom_site_fract_z
_atom_site_occupancy
Sc1 0.000 0.042 0.250 1
Si1 0.000 0.237 0.750 1
Tc1 0.000 0.331 0.059 1
C1 0.000 0.500 0.000 1

=====

(12)
# ScSiTe2C (PBE, relaxed)
# E_form (uncorrected)   1.492 eV/atom
# Magnetic moment   1.910 μB per cell
# Total DFT energy (no corrections)   -19.801 eV/cell
# Fermi-level density of states   5.1 states/eV/f.u.
# Volume   139.25 Å³/cell
data_ScSiTe2C
_cell_length_a 5.236
_cell_length_b 5.236
_cell_length_c 5.079
_cell_angle_alpha 90.00
_cell_angle_beta 90.00
_cell_angle_gamma 90.00
_space_group_name_H-M_alt 'P 4/m m m'
_space_group_IT_number 123
_space_group_name_Hall '-P 4 2'
loop_
_atom_site_label
_atom_site_fract_x
_atom_site_fract_y
_atom_site_fract_z
_atom_site_occupancy
Sc1 0.000 0.000 0.000 1
Si1 0.000 0.000 0.500 1
Te1 0.000 0.500 0.500 1
C1 0.500 0.500 0.000 1

=====

(13)
# ScTi2SiC (PBE, relaxed)
# E_form (uncorrected)   -0.138 eV/atom
# Magnetic moment   0.000 μB per cell
# Total DFT energy (no corrections)   -37.456 eV/cell
# Fermi-level density of states   5.8 states/eV/f.u.
# Volume   74.22 Å³/cell
data_ScTi2SiC
_cell_length_a 4.217
_cell_length_b 4.217
_cell_length_c 4.173
_cell_angle_alpha 90.00
_cell_angle_beta 90.00
_cell_angle_gamma 90.00
_space_group_name_H-M_alt 'P 4/m m m'
_space_group_IT_number 123
_space_group_name_Hall '-P 4 2'
loop_
_atom_site_label
_atom_site_fract_x
_atom_site_fract_y
_atom_site_fract_z
_atom_site_occupancy
Sc1 0.000 0.000 0.000 1
Ti1 0.000 0.500 0.500 1
Si1 0.500 0.500 0.000 1
C1 0.500 0.500 0.500 1